[1]
First-principles (GGA-PBE) data for a relaxed CeNdMg2Au4 crystal, as listed in the Alexandria database.

Geometry as POSCAR:
```
CeNdMg2Au4
1.0
5.064 0.000 0.000
2.532 4.385 0.000
2.532 1.462 8.049
Mg Au Ce Nd
2 4 1 1
Cartesian
7.595 4.385 6.043
2.532 1.462 2.006
2.532 1.462 4.930
5.064 2.923 7.080
7.595 4.385 3.119
5.064 2.923 0.969
5.064 2.923 4.025
0.000 0.000 0.000
```

Values from the calculation:
For the formation energy from the elements, the calculation gives -5.55 eV per formula unit. Its total moment is 0.8 μB per cell. The value obtained for the density of states at the Fermi level is 9.70 states/eV per cell.

[2]
First-principles (GGA-PBE) data for a relaxed ErGaC crystal, as listed in the Alexandria database.

Geometry as POSCAR:
```
ErGaC
1.0
-1.992 2.875 0.915
-1.322 0.153 -3.362
-4.704 -6.642 3.492
Ga Er C
2 2 2
Cartesian
-7.155 -2.918 0.737
-0.863 -0.696 0.308
-4.050 -3.265 1.445
-3.968 -0.348 -0.399
-2.286 -1.842 0.815
-5.733 -1.771 0.230
```

Values from the calculation:
For the formation energy from the elements, the calculation gives -0.46 eV per formula unit. Its total moment is 0.0 μB per cell. Its energy above the most stable polymorph in this dataset is 39 meV/atom. The value obtained for the density of states at the Fermi level is 2.31 states/eV per cell.

Q: formation energy from the elements of number 1 (CeNdMg2Au4)?
A: -5.55 eV per formula unit